(1)
Below is a geometry-optimized BaLiGaSb2 structure, with properties calculated at the GGA-PBE level.

DFT total energy (eV per cell): -18.3
Formation energy from raw total energies (meV per atom): -645
DOS at the Fermi energy (states/eV/f.u.): 0.2

Cell: 4.473 4.473 7.834 Å, 106.59 106.59 90.00°
Positions (direct):
Sb: 0.369 0.369 0.738
Li: 0.250 0.750 0.500
Ga: 0.750 0.250 0.500
Sb: 0.631 0.631 0.262
Ba: 0.000 0.000 0.000

(2)
Below is a geometry-optimized Ba4LiGa5Se12 structure, with properties calculated at the GGA-PBE level.

DFT total energy (eV per cell): -186.9
Formation energy from raw total energies (meV per atom): -1222

Cell: 13.881 13.881 6.600 Å, 90.00 90.00 90.00°
Positions (direct):
Se: 0.696 0.708 0.794
Se: 0.904 0.904 0.765
Ga: 0.500 0.500 0.500
Se: 0.292 0.696 0.206
Se: 0.196 0.792 0.706
Se: 0.986 0.359 0.051
Ga: 0.744 0.358 0.552
Se: 0.014 0.641 0.051
Ba: 0.807 0.520 0.052
Ba: 0.693 0.020 0.448
Li: 0.500 0.500 0.000
Se: 0.304 0.292 0.794
Se: 0.904 0.096 0.235
Se: 0.859 0.486 0.551
Se: 0.596 0.596 0.265
Li: 0.000 0.000 0.500
Se: 0.708 0.304 0.206
Se: 0.359 0.014 0.949
Se: 0.486 0.141 0.449
Se: 0.596 0.404 0.735
Ga: 0.244 0.142 0.948
Ga: 0.858 0.244 0.052
Se: 0.096 0.096 0.765
Ba: 0.193 0.480 0.052
Se: 0.792 0.804 0.294
Se: 0.804 0.208 0.706
Se: 0.141 0.514 0.551
Ba: 0.480 0.807 0.948
Se: 0.208 0.196 0.294
Ga: 0.756 0.858 0.948
Ga: 0.256 0.642 0.552
Se: 0.404 0.404 0.265
Se: 0.096 0.904 0.235
Se: 0.514 0.859 0.449
Ga: 0.358 0.256 0.448
Se: 0.404 0.596 0.735
Ba: 0.020 0.307 0.552
Ga: 0.142 0.756 0.052
Ga: 0.642 0.744 0.448
Ba: 0.307 0.980 0.448
Se: 0.641 0.986 0.949
Ba: 0.980 0.693 0.552
Ga: 0.000 0.000 0.000
Ba: 0.520 0.193 0.948

(3)
Below is a geometry-optimized BaLiSmGa structure, with properties calculated at the GGA-PBE level.

DFT total energy (eV per cell): -12.0
Energy of formation from the pure elements (eV/f.u.): -0.38
DOS at the Fermi energy (states/eV/f.u.): 4.5

Cell: 5.538 5.538 5.538 Å, 60.00 60.00 60.00°
Positions (direct):
Ba: 0.750 0.750 0.750
Ga: 0.500 0.500 0.500
Sm: 0.250 0.250 0.250
Li: 0.000 0.000 0.000

(4)
Below is a geometry-optimized Ba2LiGaSn6 structure, with properties calculated at the GGA-PBE level.

DFT total energy (eV per cell): -72.4
Energy of formation from the pure elements (eV/f.u.): -3.38
DOS at the Fermi energy (states/eV/f.u.): 5.0

Cell: 7.281 7.281 13.926 Å, 74.85 74.85 60.00°
Positions (direct):
Sn: 0.235 0.235 0.883
Sn: 0.647 0.235 0.883
Sn: 0.077 0.666 0.591
Ga: 0.569 0.569 0.294
Sn: 0.334 0.334 0.409
Ba: 0.110 0.110 0.671
Ba: 0.289 0.289 0.134
Sn: 0.235 0.647 0.883
Sn: 0.765 0.765 0.117
Ga: 0.431 0.431 0.706
Sn: 0.334 0.923 0.409
Li: 0.500 0.500 0.500
Ba: 0.890 0.890 0.329
Sn: 0.923 0.334 0.409
Sn: 0.666 0.077 0.591
Ba: 0.711 0.711 0.866
Sn: 0.353 0.765 0.117
Sn: 0.765 0.353 0.117
Li: 0.000 0.000 0.000
Sn: 0.666 0.666 0.591

(5)
Below is a geometry-optimized BaSrLiGa structure, with properties calculated at the GGA-PBE level.

DFT total energy (eV per cell): -9.2
ΔE to the lowest computed polymorph (kJ per mole of atoms): 1.0
Energy of formation from the pure elements (eV/f.u.): -0.65
DOS at the Fermi energy (states/eV/f.u.): 4.3

Cell: 5.795 5.795 5.795 Å, 60.00 60.00 60.00°
Positions (direct):
Li: 0.750 0.750 0.750
Ba: 0.000 0.000 0.000
Ga: 0.250 0.250 0.250
Sr: 0.500 0.500 0.500

(6)
Below is a geometry-optimized BaSr2LiGa structure, with properties calculated at the GGA-PBE level.

DFT total energy (eV per cell): -10.3
Energy of formation from the pure elements (eV/f.u.): -0.11
DOS at the Fermi energy (states/eV/f.u.): 4.6

Cell: 6.326 6.326 5.416 Å, 90.00 90.00 90.00°
Positions (direct):
Ba: 0.500 0.500 0.500
Li: 0.000 0.000 0.500
Sr: 0.000 0.500 0.000
Ga: 0.000 0.000 0.000
Sr: 0.500 0.000 0.000

(7)
Below is a geometry-optimized BaSrLi2Ga structure, with properties calculated at the GGA-PBE level.

DFT total energy (eV per cell): -10.4
Energy of formation from the pure elements (eV/f.u.): 0.08
DOS at the Fermi energy (states/eV/f.u.): 4.8

Cell: 5.440 5.440 5.995 Å, 90.00 90.00 90.00°
Positions (direct):
Ba: 0.500 0.500 0.500
Li: 0.500 0.000 0.000
Li: 0.000 0.500 0.000
Sr: 0.000 0.000 0.500
Ga: 0.000 0.000 0.000

(8)
Below is a geometry-optimized BaSrLiGa structure, with properties calculated at the GGA-PBE level.

DFT total energy (eV per cell): -9.2
ΔE to the lowest computed polymorph (kJ per mole of atoms): 0.0
Energy of formation from the pure elements (eV/f.u.): -0.69
DOS at the Fermi energy (states/eV/f.u.): 3.8

Cell: 4.813 4.813 8.328 Å, 90.05 106.74 120.00°
Positions (direct):
Ga: 0.836 0.282 0.118
Li: 0.500 0.614 0.114
Sr: 0.007 0.868 0.875
Ba: 0.350 0.040 0.390

(9)
Below is a geometry-optimized BaLiGa2Tc structure, with properties calculated at the GGA-PBE level.

DFT total energy (eV per cell): -10.4
Energy of formation from the pure elements (eV/f.u.): 9.88
DOS at the Fermi energy (states/eV/f.u.): 15.8

Cell: 5.510 4.766 5.510 Å, 90.00 90.00 90.00°
Positions (direct):
Ga: 0.500 0.000 0.000
Tc: 0.500 0.500 0.500
Ga: 0.000 0.000 0.500
Ba: 0.000 0.000 0.000
Li: 0.000 0.500 0.000

(10)
Below is a geometry-optimized BaLiTl2Ga structure, with properties calculated at the GGA-PBE level.

DFT total energy (eV per cell): -12.5
Energy of formation from the pure elements (eV/f.u.): -0.89
DOS at the Fermi energy (states/eV/f.u.): 3.8

Cell: 5.283 5.283 5.134 Å, 90.00 90.00 90.00°
Positions (direct):
Tl: 0.000 0.500 0.000
Ga: 0.000 0.000 0.500
Tl: 0.500 0.000 0.000
Li: 0.000 0.000 0.000
Ba: 0.500 0.500 0.500

(11)
Below is a geometry-optimized Ba2LiTl6Ga structure, with properties calculated at the GGA-PBE level.

DFT total energy (eV per cell): -24.9
Energy of formation from the pure elements (eV/f.u.): -1.94
DOS at the Fermi energy (states/eV/f.u.): 3.6

Cell: 7.740 7.692 7.757 Å, 61.07 58.98 90.00°
Positions (direct):
Li: 0.500 0.500 0.000
Ba: 0.241 0.799 0.431
Tl: 0.763 0.271 0.029
Tl: 0.705 0.724 0.509
Ga: 0.000 0.000 0.000
Tl: 0.237 0.729 0.971
Ba: 0.759 0.201 0.569
Tl: 0.756 0.693 0.044
Tl: 0.244 0.307 0.956
Tl: 0.295 0.276 0.491

(12)
Below is a geometry-optimized BaLiZn2Ga structure, with properties calculated at the GGA-PBE level.

DFT total energy (eV per cell): -10.6
ΔE to the lowest computed polymorph (kJ per mole of atoms): 0.0
Energy of formation from the pure elements (eV/f.u.): -1.22
DOS at the Fermi energy (states/eV/f.u.): 2.7

Cell: 4.688 4.688 6.214 Å, 112.16 112.16 90.00°
Positions (direct):
Ga: 0.750 0.250 0.500
Li: 0.250 0.750 0.500
Ba: 0.000 0.000 0.000
Zn: 0.374 0.374 0.748
Zn: 0.626 0.626 0.252